## AcMnSe (PBE-GGA)

Data for a relaxed structure of AcMnSe.

VASP energy = -18.69 eV per formula unit
Volume = 152.4 Å³ per cell
SG = No. 63

Cell and atoms, written as POSCAR:
```
AcMnSe
1.0
4.4962 0.0000 0.0000
0.0000 4.6662 0.0000
0.0000 2.3331 7.2639
Ac Mn Se
2 2 2
Cartesian
3.3722 4.6662 5.4060
1.1241 2.3331 1.8579
2.2481 0.0000 0.0000
0.0000 0.0000 0.0000
3.3722 4.6662 2.1923
1.1241 2.3331 5.0716
```